[1]
The following is a DFT calculation (SCAN) of a crystal of CaAl2Pt relaxed with PBEsol.

Computed properties:
The density of states at the Fermi level is 1.5 states/eV per cell. As for the volume: 21.00 A^3/atom. The calculated total energy is -1.8225 Ry/atom.

Cell lengths 4.3048, 4.3048, 5.7945 Å; angles 68.19, 68.19, 60.00 degrees
Closest atoms and distances in Å follow each position.
Fractional coordinates of all 4 atoms:
Ca: 0.4910 0.4910 0.5270  1 Pt 2.92, 7 Al 3.14-3.25
Al: 0.0317 0.0317 0.9048  3 Pt 2.51, 3 Al 2.74
Al: 0.2913 0.2913 0.1260  3 Pt 2.62, 3 Al 2.74
Pt: 0.6770 0.6770 0.9689  6 Al 2.51-2.62



[2]
The following is a DFT calculation (SCAN) of a crystal of RbCa3Al relaxed with PBEsol.

Computed properties:
The density of states at the Fermi level is 3.0 states/eV per cell. As for the volume: 44.44 A^3/atom. The calculated total energy is -0.8371 Ry/atom.

Cell lengths 6.0569, 6.0569, 6.0569 Å; angles 90.00, 90.00, 90.00 degrees
Closest atoms and distances in Å follow each position.
Fractional coordinates of all 5 atoms:
Ca: 0.0000 0.5000 0.0000  2 Al 3.03
Ca: 0.0000 0.0000 0.5000  2 Al 3.03
Ca: 0.5000 0.0000 0.0000  2 Al 3.03
Al: 0.0000 0.0000 0.0000  6 Ca 3.03
Rb: 0.5000 0.5000 0.5000  12 Ca 4.28



[3]
The following is a DFT calculation (SCAN) of a crystal of RbCa2AlRu relaxed with PBEsol.

Computed properties:
The density of states at the Fermi level is 3.3 states/eV per cell. As for the volume: 31.56 A^3/atom. The calculated total energy is -1.1812 Ry/atom.

Cell lengths 4.5827, 5.8685, 5.8685 Å; angles 90.00, 90.00, 90.00 degrees
Closest atoms and distances in Å follow each position.
Fractional coordinates of all 5 atoms:
Ru: 0.5000 0.0000 0.0000  2 Al 2.29
Ca: 0.0000 0.0000 0.5000  2 Al 2.93
Ca: 0.0000 0.5000 0.0000  2 Al 2.93
Al: 0.0000 0.0000 0.0000  2 Ru 2.29
Rb: 0.5000 0.5000 0.5000  8 Ca 3.72, 4 Ru 4.15



[4]
The following is a DFT calculation (SCAN) of a crystal of RbCa2AlS relaxed with PBEsol.

Computed properties:
The value obtained for the formation energy (no corrections) is 0.017 eV per atom. The density of states at the Fermi level is 4.0 states/eV per cell. As for the volume: 36.07 A^3/atom. The calculated total energy is -0.8432 Ry/atom.

Cell lengths 5.2777, 5.8460, 5.8460 Å; angles 90.00, 90.00, 90.00 degrees
Closest atoms and distances in Å follow each position.
Fractional coordinates of all 5 atoms:
Ca: 0.0000 0.0000 0.5000  2 Al 2.92
Ca: 0.0000 0.5000 0.0000  2 Al 2.92
S: 0.5000 0.0000 0.0000  2 Al 2.64
Rb: 0.5000 0.5000 0.5000  8 Ca 3.94, 4 S 4.13
Al: 0.0000 0.0000 0.0000  2 S 2.64, 4 Ca 2.92



[5]
The following is a DFT calculation (SCAN) of a crystal of CaAlRe2 relaxed with PBEsol.

Computed properties:
The density of states at the Fermi level is 2.8 states/eV per cell. As for the volume: 16.45 A^3/atom. The calculated total energy is -2.8924 Ry/atom.

Cell lengths 2.6221, 5.3073, 5.3073 Å; angles 117.03, 90.00, 90.00 degrees
Closest atoms and distances in Å follow each position.
Fractional coordinates of all 4 atoms:
Re: 0.0000 0.5000 0.0000  4 Re 2.62-2.77
Re: 0.0000 0.0000 0.5000  4 Re 2.62-2.77
Ca: 0.5000 0.5000 0.5000  2 Ca 2.62, 2 Al 2.77
Al: 0.5000 0.0000 0.0000  2 Al 2.62, 2 Ca 2.77



[6]
The following is a DFT calculation (SCAN) of a crystal of CaAlRe relaxed with PBEsol.

Computed properties:
The density of states at the Fermi level is 2.4 states/eV per cell. As for the volume: 20.98 A^3/atom. As for the energy above the most stable polymorph in this dataset: 0.7171 eV per atom. The calculated total energy is -2.1014 Ry/atom.

Cell lengths 4.4647, 4.4647, 4.4647 Å; angles 60.00, 60.00, 60.00 degrees
Closest atoms and distances in Å follow each position.
Fractional coordinates of all 3 atoms:
Re: 0.5000 0.5000 0.5000  4 Al 2.73
Ca: 0.0000 0.0000 0.0000  4 Al 2.73
Al: 0.2500 0.2500 0.2500  4 Re 2.73, 4 Ca 2.73



[7]
The following is a DFT calculation (SCAN) of a crystal of CaAlRe relaxed with PBEsol.

Computed properties:
The density of states at the Fermi level is 1.3 states/eV per cell. As for the volume: 19.43 A^3/atom. As for the energy above the most stable polymorph in this dataset: 0.0000 eV per atom. The calculated total energy is -2.1541 Ry/atom.

Cell lengths 2.8160, 4.0380, 5.6855 Å; angles 110.80, 104.34, 90.00 degrees
Closest atoms and distances in Å follow each position.
Fractional coordinates of all 3 atoms:
Re: 0.6247 0.6247 0.2493  4 Al 2.59, 2 Re 2.82
Ca: 0.3286 0.3286 0.6573  2 Ca 2.82, 1 Al 2.89, 1 Re 3.03
Al: 0.0467 0.0467 0.0934  4 Re 2.59, 2 Al 2.82, 1 Ca 2.89



[8]
The following is a DFT calculation (SCAN) of a crystal of CaAlRe relaxed with PBEsol.

Computed properties:
The density of states at the Fermi level is 1.8 states/eV per cell. As for the volume: 18.18 A^3/atom. As for the energy above the most stable polymorph in this dataset: 0.0931 eV per atom. The calculated total energy is -2.1473 Ry/atom.

Cell lengths 2.8377, 2.8377, 7.0640 Å; angles 101.59, 101.59, 90.00 degrees
Closest atoms and distances in Å follow each position.
Fractional coordinates of all 3 atoms:
Re: 0.3486 0.3486 0.6973  4 Al 2.70, 4 Re 2.84
Ca: 0.6699 0.6699 0.3397  4 Ca 2.84, 4 Re 3.14
Al: 0.9815 0.9815 0.9630  4 Re 2.70, 4 Al 2.84



[9]
The following is a DFT calculation (SCAN) of a crystal of CaAlRe2 relaxed with PBEsol.

Computed properties:
The density of states at the Fermi level is 3.5 states/eV per cell. As for the volume: 17.80 A^3/atom. The calculated total energy is -2.9304 Ry/atom.

Cell lengths 3.0611, 3.0611, 7.5971 Å; angles 90.00, 90.00, 90.00 degrees
Closest atoms and distances in Å follow each position.
Fractional coordinates of all 4 atoms:
Re: 0.0000 0.0000 0.0536  4 Re 2.58
Re: 0.5000 0.5000 0.2382  4 Re 2.58, 4 Al 2.69
Ca: 0.5000 0.5000 0.7597  4 Ca 3.06, 4 Re 3.11, 4 Al 3.20
Al: 0.0000 0.0000 0.4486  5 Re 2.69-3.00



[10]
The following is a DFT calculation (SCAN) of a crystal of CaAl2Rh relaxed with PBEsol.

Computed properties:
The density of states at the Fermi level is 1.7 states/eV per cell. As for the volume: 17.02 A^3/atom. The calculated total energy is -1.1059 Ry/atom.

Cell lengths 4.5833, 4.5827, 4.5827 Å; angles 60.07, 60.00, 60.00 degrees
Closest atoms and distances in Å follow each position.
Fractional coordinates of all 4 atoms:
Ca: 0.5000 0.5000 0.5000  4 Rh 2.81, 4 Al 2.81
Rh: 0.2505 0.2495 0.2495  4 Al 2.80-2.81, 4 Ca 2.81
Al: 0.9998 0.0002 0.0002  4 Rh 2.80-2.81, 4 Al 2.81
Al: 0.7497 0.7503 0.7503  4 Al 2.81, 4 Ca 2.81



[11]
The following is a DFT calculation (SCAN) of a crystal of CaAlRh2 relaxed with PBEsol.

Computed properties:
The density of states at the Fermi level is 1.5 states/eV per cell. As for the volume: 15.81 A^3/atom. The calculated total energy is -1.6174 Ry/atom.

Cell lengths 3.0872, 3.0872, 6.6346 Å; angles 90.00, 90.00, 90.00 degrees
Closest atoms and distances in Å follow each position.
Fractional coordinates of all 4 atoms:
Ca: 0.5000 0.5000 0.0000  8 Rh 2.92, 4 Ca 3.09
Rh: 0.0000 0.0000 0.2913  4 Al 2.59, 1 Rh 2.77
Rh: 0.0000 0.0000 0.7087  4 Al 2.59, 1 Rh 2.77
Al: 0.5000 0.5000 0.5000  8 Rh 2.59



[12]
The following is a DFT calculation (SCAN) of a crystal of CaAl2Rh2 relaxed with PBEsol.

Computed properties:
The density of states at the Fermi level is 2.9 states/eV per cell. As for the volume: 15.85 A^3/atom. The calculated total energy is -1.4327 Ry/atom.

Cell lengths 2.8954, 7.3985, 7.3985 Å; angles 90.00, 90.00, 90.00 degrees
Closest atoms and distances in Å follow each position.
Fractional coordinates of all 10 atoms:
Ca: 0.0000 0.0000 0.0000  4 Rh 2.81, 2 Ca 2.90
Ca: 0.0000 0.5000 0.5000  4 Rh 2.81, 2 Ca 2.90
Rh: 0.0000 0.3491 0.8491  6 Al 2.59-2.63, 2 Ca 2.81, 2 Rh 2.90
Rh: 0.0000 0.8491 0.6509  6 Al 2.59-2.63, 2 Ca 2.81, 2 Rh 2.90
Rh: 0.0000 0.6509 0.1509  6 Al 2.59-2.63, 2 Ca 2.81, 2 Rh 2.90
Rh: 0.0000 0.1509 0.3491  6 Al 2.59-2.63, 2 Ca 2.81, 2 Rh 2.90
Al: 0.5000 0.1398 0.6398  6 Rh 2.59-2.63, 2 Al 2.90
Al: 0.5000 0.6398 0.8602  6 Rh 2.59-2.63, 2 Al 2.90
Al: 0.5000 0.8602 0.3602  6 Rh 2.59-2.63, 2 Al 2.90
Al: 0.5000 0.3602 0.1398  6 Rh 2.59-2.63, 2 Al 2.90



Number 11 is which compound? CaAlRh2



volume of number 12 (CaAl2Rh2)? 15.85 A^3/atom